<a>
Computed, not measured: As2PBrCl after structural relaxation at the GGA-PBE level of DFT.

The structure in POSCAR format:
```
As2PBrCl
1.0
5.080 0.000 0.000
0.000 5.080 0.000
0.000 0.000 4.977
P As Br Cl
1 2 1 1
Cartesian
2.540 2.540 2.488 P
0.000 2.540 0.000 As
2.540 0.000 0.000 As
0.000 0.000 2.488 Br
0.000 0.000 0.000 Cl
```

Calculated values
**V**: 128 Å³/cell



<b>
Computed, not measured: As2PBrCl after structural relaxation at the GGA-PBE level of DFT.

The structure in POSCAR format:
```
As2PBrCl
1.0
4.935 0.000 0.000
0.000 4.935 0.000
0.000 0.000 5.003
P As Br Cl
1 2 1 1
Cartesian
0.000 0.000 0.000 P
0.000 2.468 0.000 As
2.468 0.000 0.000 As
0.000 0.000 2.502 Br
2.468 2.468 2.502 Cl
```

Calculated values
**V**: 122 Å³/cell



Top of the stability list: <b>, leading by 0.742 eV/atom.



<a>
Computed, not measured: As2PdBrCl after structural relaxation at the GGA-PBE level of DFT.

The structure in POSCAR format:
```
As2PdBrCl
1.0
-4.285 1.384 1.432
-1.697 -4.317 -0.904
1.371 -1.751 5.793
As Br Pd Cl
2 1 1 1
Cartesian
-0.848 -2.158 -0.452 As
-2.143 0.692 0.716 As
0.685 -0.876 2.897 Br
-2.306 -2.342 3.161 Pd
0.000 0.000 0.000 Cl
```

Calculated values
**V**: 139 Å³/cell



<b>
Computed, not measured: As2PdBrCl after structural relaxation at the GGA-PBE level of DFT.

The structure in POSCAR format:
```
As2PdBrCl
1.0
-0.669 1.488 4.636
-3.622 -3.279 0.530
3.415 -3.511 1.620
As Br Pd Cl
2 1 1 1
Cartesian
-1.811 -1.640 0.265 As
-0.335 0.744 2.318 As
1.708 -1.755 0.810 Br
0.000 0.000 0.000 Pd
-0.438 -2.651 3.393 Cl
```

Calculated values
**V**: 125 Å³/cell



Top of the stability list: <b>, leading by 0.699 eV/atom.



<a>
Computed, not measured: AsPtBr2Cl after structural relaxation at the GGA-PBE level of DFT.

The structure in POSCAR format:
```
AsPtBr2Cl
1.0
5.203 0.000 0.000
0.000 5.203 0.000
0.000 0.000 4.837
As Br Pt Cl
1 2 1 1
Cartesian
0.000 0.000 2.419 As
0.000 2.602 0.000 Br
2.602 0.000 0.000 Br
0.000 0.000 0.000 Pt
2.602 2.602 2.419 Cl
```

Calculated values
**V**: 131 Å³/cell



<b>
Computed, not measured: AsPtBr2Cl after structural relaxation at the GGA-PBE level of DFT.

The structure in POSCAR format:
```
AsPtBr2Cl
1.0
5.040 0.000 0.000
0.000 5.040 0.000
0.000 0.000 5.211
As Br Pt Cl
1 2 1 1
Cartesian
0.000 0.000 2.605 As
0.000 2.520 0.000 Br
2.520 0.000 0.000 Br
2.520 2.520 2.605 Pt
0.000 0.000 0.000 Cl
```

Calculated values
**V**: 132 Å³/cell



Top of the stability list: <a>, leading by 0.990 eV/atom.



<a>
Computed, not measured: RbAsBr2Cl after structural relaxation at the GGA-PBE level of DFT.

The structure in POSCAR format:
```
RbAsBr2Cl
1.0
5.491 0.000 0.000
0.000 5.491 0.000
0.000 0.000 5.248
As Br Rb Cl
1 2 1 1
Cartesian
0.000 0.000 0.000 As
0.000 2.745 0.000 Br
2.745 0.000 0.000 Br
2.745 2.745 2.624 Rb
0.000 0.000 2.624 Cl
```

Calculated values
**V**: 158 Å³/cell



<b>
Computed, not measured: RbAsBr2Cl after structural relaxation at the GGA-PBE level of DFT.

The structure in POSCAR format:
```
RbAsBr2Cl
1.0
6.405 0.000 0.000
0.000 6.405 0.000
0.000 0.000 10.395
As Br Rb Cl
1 2 1 1
Cartesian
0.000 0.000 5.198 As
0.000 3.203 0.000 Br
3.203 0.000 0.000 Br
0.000 0.000 0.000 Rb
3.203 3.203 5.198 Cl
```

Calculated values
**V**: 426 Å³/cell



<c>
Computed, not measured: RbAsBr2Cl after structural relaxation at the GGA-PBE level of DFT.

The structure in POSCAR format:
```
RbAsBr2Cl
1.0
6.577 0.000 0.000
0.000 6.577 0.000
0.000 0.000 4.585
As Br Rb Cl
1 2 1 1
Cartesian
0.000 0.000 2.292 As
0.000 3.288 0.000 Br
3.288 0.000 0.000 Br
3.288 3.288 2.292 Rb
0.000 0.000 0.000 Cl
```

Calculated values
**V**: 198 Å³/cell



Top of the stability list: <a>, leading by 0.673 eV/atom.



<a>
Computed, not measured: As2RuBrCl after structural relaxation at the GGA-PBE level of DFT.

The structure in POSCAR format:
```
As2RuBrCl
1.0
4.768 0.000 0.000
0.000 4.768 0.000
0.000 0.000 5.195
Ru As Br Cl
1 2 1 1
Cartesian
0.000 0.000 0.000 Ru
0.000 2.384 0.000 As
2.384 0.000 0.000 As
0.000 0.000 2.597 Br
2.384 2.384 2.597 Cl
```

Calculated values
**V**: 118 Å³/cell



<b>
Computed, not measured: As2RuBrCl after structural relaxation at the GGA-PBE level of DFT.

The structure in POSCAR format:
```
As2RuBrCl
1.0
4.690 0.000 0.000
0.000 4.690 0.000
0.000 0.000 6.075
Ru As Br Cl
1 2 1 1
Cartesian
2.345 2.345 3.038 Ru
0.000 2.345 0.000 As
2.345 0.000 0.000 As
0.000 0.000 3.038 Br
0.000 0.000 0.000 Cl
```

Calculated values
**V**: 134 Å³/cell



Top of the stability list: <a>, leading by 1.188 eV/atom.



<a>
Computed, not measured: As2SBrCl after structural relaxation at the GGA-PBE level of DFT.

The structure in POSCAR format:
```
As2SBrCl
1.0
5.086 0.000 0.000
0.000 5.086 0.000
0.000 0.000 4.979
As S Br Cl
2 1 1 1
Cartesian
0.000 2.543 0.000 As
2.543 0.000 0.000 As
2.543 2.543 2.489 S
0.000 0.000 2.489 Br
0.000 0.000 0.000 Cl
```

Calculated values
**V**: 129 Å³/cell



<b>
Computed, not measured: As2SBrCl after structural relaxation at the GGA-PBE level of DFT.

The structure in POSCAR format:
```
As2SBrCl
1.0
4.940 0.000 0.000
0.000 4.940 0.000
0.000 0.000 5.137
As S Br Cl
2 1 1 1
Cartesian
0.000 2.470 0.000 As
2.470 0.000 0.000 As
0.000 0.000 0.000 S
0.000 0.000 2.569 Br
2.470 2.470 2.569 Cl
```

Calculated values
**V**: 125 Å³/cell



Top of the stability list: <b>, leading by 0.563 eV/atom.



<a>
Computed, not measured: SbAs2BrCl after structural relaxation at the GGA-PBE level of DFT.

The structure in POSCAR format:
```
SbAs2BrCl
1.0
5.094 0.000 0.000
0.000 5.094 0.000
0.000 0.000 4.982
Sb As Br Cl
1 2 1 1
Cartesian
2.547 2.547 2.491 Sb
0.000 2.547 0.000 As
2.547 0.000 0.000 As
0.000 0.000 2.491 Br
0.000 0.000 0.000 Cl
```

Calculated values
**V**: 129 Å³/cell



<b>
Computed, not measured: SbAs2BrCl after structural relaxation at the GGA-PBE level of DFT.

The structure in POSCAR format:
```
SbAs2BrCl
1.0
5.474 0.000 0.000
0.000 5.474 0.000
0.000 0.000 5.462
Sb As Br Cl
1 2 1 1
Cartesian
0.000 0.000 0.000 Sb
0.000 2.737 0.000 As
2.737 0.000 0.000 As
0.000 0.000 2.731 Br
2.737 2.737 2.731 Cl
```

Calculated values
**V**: 164 Å³/cell



Top of the stability list: <b>, leading by 0.245 eV/atom.



<a>
Computed, not measured: ScAsBr2Cl after structural relaxation at the GGA-PBE level of DFT.

The structure in POSCAR format:
```
ScAsBr2Cl
1.0
5.088 0.000 0.000
0.000 5.088 0.000
0.000 0.000 5.753
Sc As Br Cl
1 1 2 1
Cartesian
0.000 0.000 0.000 Sc
0.000 0.000 2.876 As
0.000 2.544 0.000 Br
2.544 0.000 0.000 Br
2.544 2.544 2.876 Cl
```

Calculated values
**V**: 149 Å³/cell



<b>
Computed, not measured: ScAsBr2Cl after structural relaxation at the GGA-PBE level of DFT.

The structure in POSCAR format:
```
ScAsBr2Cl
1.0
5.129 0.000 0.000
0.000 5.129 0.000
0.000 0.000 5.207
Sc As Br Cl
1 1 2 1
Cartesian
2.565 2.565 2.603 Sc
0.000 0.000 2.603 As
0.000 2.565 0.000 Br
2.565 0.000 0.000 Br
0.000 0.000 0.000 Cl
```

Calculated values
**V**: 137 Å³/cell



<c>
Computed, not measured: ScAsBr2Cl after structural relaxation at the GGA-PBE level of DFT.

The structure in POSCAR format:
```
ScAsBr2Cl
1.0
5.447 0.000 0.000
0.000 5.447 0.000
0.000 0.000 5.003
Sc As Br Cl
1 1 2 1
Cartesian
2.723 2.723 2.502 Sc
0.000 0.000 0.000 As
0.000 2.723 0.000 Br
2.723 0.000 0.000 Br
0.000 0.000 2.502 Cl
```

Calculated values
**V**: 148 Å³/cell



Top of the stability list: <a>, leading by 0.579 eV/atom.



<a>
Computed, not measured: SiAs2BrCl after structural relaxation at the GGA-PBE level of DFT.

The structure in POSCAR format:
```
SiAs2BrCl
1.0
4.919 0.000 0.000
0.000 4.919 0.000
0.000 0.000 4.991
As Si Br Cl
2 1 1 1
Cartesian
0.000 2.460 0.000 As
2.460 0.000 0.000 As
0.000 0.000 0.000 Si
0.000 0.000 2.496 Br
2.460 2.460 2.496 Cl
```

Calculated values
**V**: 121 Å³/cell



<b>
Computed, not measured: SiAs2BrCl after structural relaxation at the GGA-PBE level of DFT.

The structure in POSCAR format:
```
SiAs2BrCl
1.0
4.708 0.000 0.000
0.000 4.708 0.000
0.000 0.000 6.298
As Si Br Cl
2 1 1 1
Cartesian
0.000 2.354 0.000 As
2.354 0.000 0.000 As
2.354 2.354 3.149 Si
0.000 0.000 3.149 Br
0.000 0.000 0.000 Cl
```

Calculated values
**V**: 140 Å³/cell



Top of the stability list: <a>, leading by 0.583 eV/atom.



<a>
Computed, not measured: TaAsBr2Cl after structural relaxation at the GGA-PBE level of DFT.

The structure in POSCAR format:
```
TaAsBr2Cl
1.0
-4.718 -1.398 -1.109
1.193 -0.139 -4.899
1.357 -4.953 0.471
As Cl Br Ta
1 1 2 1
Cartesian
0.678 -2.476 0.236 As
-1.084 -3.245 -2.768 Cl
0.596 -0.070 -2.449 Br
-2.359 -0.699 -0.555 Br
0.000 0.000 0.000 Ta
```

Calculated values
**V**: 131 Å³/cell



<b>
Computed, not measured: TaAsBr2Cl after structural relaxation at the GGA-PBE level of DFT.

The structure in POSCAR format:
```
TaAsBr2Cl
1.0
-4.394 2.298 0.205
-2.279 -4.392 0.384
0.382 0.261 5.262
As Cl Br Ta
1 1 2 1
Cartesian
0.191 0.131 2.631 As
0.000 0.000 0.000 Cl
-1.140 -2.196 0.192 Br
-2.197 1.149 0.103 Br
-3.146 -0.916 2.925 Ta
```

Calculated values
**V**: 130 Å³/cell



Top of the stability list: <a>, leading by 1.490 eV/atom.



<a>
Computed, not measured: TeAs2BrCl after structural relaxation at the GGA-PBE level of DFT.

The structure in POSCAR format:
```
TeAs2BrCl
1.0
-5.434 -0.917 -0.405
0.261 -3.449 4.308
-0.961 4.189 3.412
As Te Br Cl
2 1 1 1
Cartesian
0.130 -1.725 2.154 As
-2.717 -0.458 -0.202 As
0.000 0.000 0.000 Te
-0.480 2.094 1.706 Br
-3.067 -0.089 3.658 Cl
```

Calculated values
**V**: 168 Å³/cell



<b>
Computed, not measured: TeAs2BrCl after structural relaxation at the GGA-PBE level of DFT.

The structure in POSCAR format:
```
TeAs2BrCl
1.0
5.141 0.000 0.000
0.000 5.141 0.000
0.000 0.000 4.981
As Te Br Cl
2 1 1 1
Cartesian
0.000 2.571 0.000 As
2.571 0.000 0.000 As
2.571 2.571 2.491 Te
0.000 0.000 2.491 Br
0.000 0.000 0.000 Cl
```

Calculated values
**V**: 132 Å³/cell



Top of the stability list: <a>, leading by 0.178 eV/atom.



<a>
Computed, not measured: TiAsBr2Cl after structural relaxation at the GGA-PBE level of DFT.

The structure in POSCAR format:
```
TiAsBr2Cl
1.0
-4.402 0.998 -1.967
-1.822 -4.119 1.990
-1.321 2.665 4.307
As Cl Br Ti
1 1 2 1
Cartesian
-0.660 1.332 2.154 As
-3.773 -0.228 2.165 Cl
-0.911 -2.059 0.995 Br
-2.201 0.499 -0.983 Br
0.000 0.000 0.000 Ti
```

Calculated values
**V**: 127 Å³/cell



<b>
Computed, not measured: TiAsBr2Cl after structural relaxation at the GGA-PBE level of DFT.

The structure in POSCAR format:
```
TiAsBr2Cl
1.0
-3.076 3.250 -2.228
0.913 -2.162 -4.414
-4.117 -3.354 0.792
As Cl Br Ti
1 1 2 1
Cartesian
-2.058 -1.677 0.396 As
0.000 0.000 0.000 Cl
0.456 -1.081 -2.207 Br
-1.538 1.625 -1.114 Br
-3.140 -1.133 -2.925 Ti
```

Calculated values
**V**: 134 Å³/cell



Top of the stability list: <a>, leading by 1.258 eV/atom.